DFT (PBE-GGA) results for crystalline CrCuNi2 at its relaxed geometry.

## Properties
Magnetic moment   1.41 μB/cell
Calculated formation energy   0.064 eV/atom
Crystal system   orthorhombic

Cell lengths 2.520, 3.503, 5.121 Å; angles 90.00, 90.00, 90.00 degrees
Each line ends with the local moment (μB).
Positions (direct):
Cu: 0.500 0.500 0.750  0.03
Ni: 0.000 0.000 0.495  0.16
Ni: 0.000 0.000 0.005  0.16
Cr: 0.500 0.500 0.250  1.05

***

DFT (PBE-GGA) results for crystalline Nd8P3I4N at its relaxed geometry.

## Properties
Energy relative to the elements, uncorrected   -1.309 eV/atom
Magnetic moment   0.00 μB/cell
Crystal system   trigonal

Cell lengths 8.266, 9.063, 8.266 Å; angles 117.14, 120.00, 90.00 degrees
Positions (direct):
P: 0.000 0.500 0.500
P: 0.500 0.500 0.500
P: 0.500 0.500 0.000
Nd: 0.788 0.320 0.576
Nd: 0.212 0.679 0.968
Nd: 0.729 0.687 0.458
Nd: 0.756 0.679 0.968
Nd: 0.271 0.313 0.542
Nd: 0.244 0.321 0.032
Nd: 0.788 0.321 0.032
Nd: 0.212 0.680 0.424
I: 0.000 0.000 0.000
I: 0.500 0.000 0.500
I: 0.500 0.000 0.000
I: 0.000 0.000 0.500
N: 0.000 0.500 0.000